First-principles (PBE) data for a geometry-optimized RbAlP structure, as listed in Alexandria.

Values from the calculation:
The calculated total energy comes out at -3.813 eV/atom. For the total moment, the calculation gives 0.00 μB/atom. The formation enthalpy at 0 K comes out at -0.439 eV/atom.

a = 4.0391 Å, b = 5.6722 Å, c = 7.9611 Å
α = 98.54°, β = 90.92°, γ = 110.77°
With the nearest neighbours (Å) after each atom.
Sites, in units of the cell vectors:
Rb (0.1288, 0.2352, 0.3367)  3 P 3.22-3.28
Rb (0.8712, 0.7648, 0.6633)  3 P 3.22-3.28
Al (0.3743, 0.7462, 0.0392)  3 P 2.47-2.48
Al (0.6257, 0.2538, 0.9608)  3 P 2.47-2.48
P (0.1775, 0.3671, 0.8113)  3 Al 2.47-2.48
P (0.8225, 0.6329, 0.1887)  3 Al 2.47-2.48